Run one
Density functional theory data (PBE-GGA) for a relaxed CdRu2 crystal.

Geometry as POSCAR:
```
CdRu2
1.0
2.8007 0.0000 0.0000
0.0000 15.1629 0.0000
0.0000 0.0000 4.5045
Cd Ru
4 8
direct
0.0000 0.2130 0.2500 Cd
0.0000 0.7870 0.7500 Cd
0.5000 0.2870 0.7500 Cd
0.5000 0.7130 0.2500 Cd
0.0000 0.0975 0.7500 Ru
0.0000 0.4549 0.7500 Ru
0.0000 0.5451 0.2500 Ru
0.0000 0.9025 0.2500 Ru
0.5000 0.0451 0.2500 Ru
0.5000 0.4025 0.2500 Ru
0.5000 0.5975 0.7500 Ru
0.5000 0.9549 0.7500 Ru
```

Run two
Density functional theory data (PBE-GGA) for a relaxed CdRu2 crystal.

Geometry as POSCAR:
```
CdRu2
1.0
7.7030 0.0000 0.0000
-3.8515 6.6710 0.0000
0.0000 0.0000 2.7643
Cd Ru
3 6
direct
0.0000 0.0000 0.0000 Cd
0.3333 0.6667 0.5000 Cd
0.6667 0.3333 0.5000 Cd
0.0000 0.3126 0.5000 Ru
0.0000 0.6463 0.0000 Ru
0.3126 0.0000 0.5000 Ru
0.3537 0.3537 0.0000 Ru
0.6463 0.0000 0.0000 Ru
0.6874 0.6874 0.5000 Ru
```

Quick one: most stable of them? run one